## NaHfTcTe (PBE)

Data for a relaxed structure of NaHfTcTe.

The energy above the most stable polymorph in this dataset comes out at 0 meV per atom. The calculation puts the electronic total energy at -0.2251 hartree per atom.

Cell lengths 4.694, 4.694, 4.694 Å; angles 60.00, 60.00, 60.00 degrees
Positions (direct):
Tc: 0.250 0.250 0.250
Hf: 0.000 0.000 0.000
Te: 0.500 0.500 0.500
Na: 0.750 0.750 0.750

## CsAu (PBE)

Data for a relaxed structure of CsAu.

The energy above the most stable polymorph in this dataset comes out at 16 meV per atom. The calculation puts the electronic total energy at -0.0869 hartree per atom.

Cell lengths 5.345, 5.345, 5.345 Å; angles 54.57, 54.57, 54.57 degrees
Positions (direct):
Cs: 0.500 0.500 0.500
Au: 0.000 0.000 0.000

## CoBAsAu (PBE)

Data for a relaxed structure of CoBAsAu.

The energy above the most stable polymorph in this dataset comes out at 50 meV per atom. The calculation puts the electronic total energy at -0.1642 hartree per atom.

Cell lengths 4.230, 4.230, 4.230 Å; angles 60.00, 60.00, 60.00 degrees
Positions (direct):
Au: 0.750 0.750 0.750
Co: 0.000 0.000 0.000
As: 0.250 0.250 0.250
B: 0.500 0.500 0.500

Question: What is the formula in the second record?
Answer: CsAu